#P
The following is a PBE calculation of an optimized crystal structure of KHg3H, from Alexandria via LeMat-Bulk.

Its volume is 25.53 Å³ per atom. As for the crystal system: triclinic. The total magnetization comes out at 0.000 μB/atom.

The space group is P1 (No. 1) and the conventional cell measures 5.750, 6.281 and 7.081 Å, with angles of 90.44, 92.90 and 91.52 degrees. The distinct sites, in fractional coordinates, are K at (0.000, 0.000, 0.000), K at (0.439, 0.682, 0.451), Hg at (0.471, 0.185, 0.725), Hg at (0.493, 0.686, 0.950), Hg at (0.516, 0.176, 0.217), Hg at (0.917, 0.494, 0.199), Hg at (0.948, 0.056, 0.507), Hg at (0.968, 0.506, 0.745), H at (0.209, 0.348, 0.206) and H at (0.967, 0.762, 0.333).

#Q
The following is a PBE calculation of an optimized crystal structure of KHg3H, from Alexandria via LeMat-Bulk.

Its volume is 26.93 Å³ per atom. As for the crystal system: triclinic. The total magnetization comes out at 0.000 μB/atom.

The space group is P1 (No. 1) and the conventional cell measures 5.614, 5.776 and 9.464 Å, with angles of 100.52, 97.84 and 113.44 degrees. The distinct sites, in fractional coordinates, are K at (0.000, 0.000, 0.000), K at (0.440, 0.864, 0.334), Hg at (0.106, 0.144, 0.583), Hg at (0.344, 0.609, 0.967), Hg at (0.463, 0.736, 0.680), Hg at (0.683, 0.423, 0.135), Hg at (0.729, 0.344, 0.756), Hg at (0.849, 0.547, 0.472), H at (0.037, 0.531, 0.085) and H at (0.520, 0.032, 0.075).

#R
The following is a PBE calculation of an optimized crystal structure of KHg3H, from Alexandria via LeMat-Bulk.

Its volume is 26.21 Å³ per atom. As for the crystal system: cubic. The total magnetization comes out at 0.000 μB/atom.

The space group is Pm-3m (No. 221) and the conventional cell measures 5.079, 5.079 and 5.079 Å, with angles of 90.00, 90.00 and 90.00 degrees. The distinct sites, in fractional coordinates, are K at (0.000, 0.000, 0.000), Hg at (0.000, 0.500, 0.500) and H at (0.500, 0.500, 0.500).

#S
The following is a PBE calculation of an optimized crystal structure of KHg3H, from Alexandria via LeMat-Bulk.

Its volume is 25.20 Å³ per atom. As for the crystal system: triclinic. The total magnetization comes out at 0.000 μB/atom.

The space group is P1 (No. 1) and the conventional cell measures 3.472, 5.607 and 6.484 Å, with angles of 87.03, 88.61 and 89.89 degrees. The distinct sites, in fractional coordinates, are K at (0.000, 0.000, 0.000), Hg at (0.465, 0.477, 0.223), Hg at (0.516, 0.524, 0.734), Hg at (0.524, 0.041, 0.519) and H at (0.495, 0.827, 0.282).

On energetic grounds, #Q is preferred over the next structure by 15 meV/atom.

#P
The following is a PBE calculation of an optimized crystal structure of KHg3H, from Alexandria via LeMat-Bulk.

Its volume is 25.29 Å³ per atom. As for the crystal system: triclinic. The total magnetization comes out at 0.000 μB/atom.

The space group is P1 (No. 1) and the conventional cell measures 4.993, 5.493 and 5.895 Å, with angles of 115.48, 90.57 and 116.53 degrees. The distinct sites, in fractional coordinates, are K at (0.000, 0.000, 0.000), Hg at (0.224, 0.452, 0.666), Hg at (0.505, 0.013, 0.522), Hg at (0.776, 0.555, 0.329) and H at (0.635, 0.270, 0.941).

#Q
The following is a PBE calculation of an optimized crystal structure of KHg3H, from Alexandria via LeMat-Bulk.

Its volume is 26.66 Å³ per atom. As for the crystal system: triclinic. The total magnetization comes out at 0.000 μB/atom.

The space group is P-1 (No. 2) and the conventional cell measures 5.529, 5.904 and 9.683 Å, with angles of 89.11, 73.78 and 62.44 degrees. The distinct sites, in fractional coordinates, are K at (0.063, 0.080, 0.293), Hg at (0.175, 0.288, 0.876), Hg at (0.340, 0.267, 0.552), Hg at (0.432, 0.719, 0.910), H at (0.000, 0.500, 0.500) and H at (0.500, 0.500, 0.500).

On energetic grounds, #Q is preferred over the next structure by 20 meV/atom.